{
  "formula": "SrMgCd2Pb",
  "functional": "PBE",
  "state": "relaxed",
  "crystal_system": "monoclinic",
  "sg": "Cm",
  "lattice": [[-0.868, 1.701, -4.290], [-4.268, -1.953, 0.089], [0.124, 5.538, 4.740]],
  "species": ["Sr", "Mg", "Cd", "Cd", "Pb"],
  "fractional_positions": [[0.440, 0.440, 0.880], [0.193, 0.693, 0.386], [0.688, 0.188, 0.376], [0.057, 0.058, 0.115], [0.834, 0.833, 0.668]]
}

---

{
  "formula": "Sr2MgCd4Pb3",
  "functional": "PBE",
  "state": "relaxed",
  "crystal_system": "tetragonal",
  "sg": "P-4m2",
  "lattice": [[-1.044, -4.645, -0.074], [4.380, -1.010, 1.570], [-4.275, 0.764, 12.416]],
  "species": ["Sr", "Sr", "Mg", "Cd", "Cd", "Cd", "Cd", "Pb", "Pb", "Pb"],
  "fractional_positions": [[0.500, 0.000, 0.245], [0.000, 0.500, 0.755], [0.500, 0.500, 0.500], [0.500, 0.500, 0.000], [0.000, 0.000, 0.000], [0.500, 0.000, 0.638], [0.000, 0.500, 0.362], [0.000, 0.000, 0.500], [0.500, 0.000, 0.858], [0.000, 0.500, 0.142]]
}

---

{
  "formula": "SrMgCdPb2",
  "functional": "PBE",
  "state": "relaxed",
  "crystal_system": "tetragonal",
  "sg": "I-4m2",
  "lattice": [[4.703, 0.000, 0.000], [0.000, 4.703, 0.000], [-2.352, -2.352, 6.916]],
  "species": ["Sr", "Mg", "Cd", "Pb", "Pb"],
  "fractional_positions": [[0.000, 0.000, 0.000], [0.750, 0.250, 0.500], [0.250, 0.750, 0.500], [0.613, 0.613, 0.225], [0.387, 0.387, 0.775]]
}

---

{
  "formula": "Sr2Mg3Cd12Pb",
  "functional": "PBE",
  "state": "relaxed",
  "crystal_system": "trigonal",
  "sg": "R-3m",
  "lattice": [[-8.401, 9.233, -5.265], [-12.409, 4.180, -3.477], [-10.388, 8.628, 1.098]],
  "species": ["Sr", "Sr", "Mg", "Mg", "Mg", "Cd", "Cd", "Cd", "Cd", "Cd", "Cd", "Cd", "Cd", "Cd", "Cd", "Cd", "Cd", "Pb"],
  "fractional_positions": [[0.640, 0.640, 0.640], [0.360, 0.360, 0.360], [0.500, 0.000, 0.000], [0.000, 0.500, 0.000], [0.000, 0.000, 0.500], [0.407, 0.407, 0.846], [0.882, 0.882, 0.412], [0.412, 0.882, 0.882], [0.846, 0.407, 0.407], [0.882, 0.412, 0.882], [0.407, 0.846, 0.407], [0.593, 0.593, 0.154], [0.118, 0.118, 0.588], [0.588, 0.118, 0.118], [0.154, 0.593, 0.593], [0.118, 0.588, 0.118], [0.593, 0.154, 0.593], [0.000, 0.000, 0.000]]
}

---

{
  "formula": "Sr2MgCd3Pb4",
  "functional": "PBE",
  "state": "relaxed",
  "crystal_system": "tetragonal",
  "sg": "P-4m2",
  "lattice": [[-1.351, -4.354, 1.802], [3.180, 0.541, 3.692], [-9.125, 5.737, 7.017]],
  "species": ["Sr", "Sr", "Mg", "Cd", "Cd", "Cd", "Pb", "Pb", "Pb", "Pb"],
  "fractional_positions": [[0.500, 0.000, 0.252], [0.000, 0.500, 0.748], [0.500, 0.500, 0.500], [0.000, 0.000, 0.500], [0.500, 0.000, 0.858], [0.000, 0.500, 0.142], [0.500, 0.500, 0.000], [0.000, 0.000, 0.000], [0.500, 0.000, 0.636], [0.000, 0.500, 0.364]]
}

---

{
  "formula": "TbMgCdPb",
  "functional": "PBE",
  "state": "relaxed",
  "crystal_system": "orthorhombic",
  "sg": "Pmmm",
  "lattice": [[4.418, 0.000, 0.000], [0.000, 4.654, 0.000], [0.000, 0.000, 4.895]],
  "species": ["Tb", "Mg", "Cd", "Pb"],
  "fractional_positions": [[0.500, 0.000, 0.500], [0.500, 0.500, 0.000], [0.000, 0.000, 0.000], [0.000, 0.500, 0.500]]
}

---

{
  "formula": "TbMgCdPb",
  "functional": "PBE",
  "state": "relaxed",
  "crystal_system": "cubic",
  "sg": "F-43m",
  "lattice": [[5.249, 0.000, 0.000], [2.624, 4.546, 0.000], [2.624, 1.515, 4.286]],
  "species": ["Pb", "Mg", "Tb", "Cd"],
  "fractional_positions": [[0.250, 0.250, 0.250], [0.000, 0.000, 0.000], [0.500, 0.500, 0.500], [0.750, 0.750, 0.750]]
}

---

{
  "formula": "MgCd2TePb",
  "functional": "PBE",
  "state": "relaxed",
  "crystal_system": "tetragonal",
  "sg": "P4/mmm",
  "lattice": [[-3.092, 0.726, 4.606], [-2.469, -4.943, -0.878], [4.418, -2.813, 3.409]],
  "species": ["Pb", "Mg", "Te", "Cd", "Cd"],
  "fractional_positions": [[0.000, 0.000, 0.000], [0.500, 0.500, 0.500], [0.000, 0.000, 0.500], [0.000, 0.500, 0.000], [0.500, 0.000, 0.000]]
}

---

{
  "formula": "Mg7Tl2CdPb2",
  "functional": "PBE",
  "state": "relaxed",
  "crystal_system": "monoclinic",
  "sg": "C2/m",
  "lattice": [[-2.317, 1.428, -3.456], [-3.366, -2.578, 1.173], [-8.494, 11.313, 7.869]],
  "species": ["Mg", "Mg", "Mg", "Mg", "Mg", "Mg", "Mg", "Tl", "Tl", "Cd", "Pb", "Pb"],
  "fractional_positions": [[0.500, 0.500, 0.000], [0.269, 0.269, 0.457], [0.731, 0.731, 0.543], [0.936, 0.436, 0.138], [0.436, 0.936, 0.138], [0.564, 0.064, 0.862], [0.064, 0.564, 0.862], [0.627, 0.627, 0.729], [0.373, 0.373, 0.271], [0.000, 0.000, 0.000], [0.832, 0.832, 0.350], [0.168, 0.168, 0.650]]
}

---

{
  "formula": "Mg4TlCd2Pb2",
  "functional": "PBE",
  "state": "relaxed",
  "crystal_system": "monoclinic",
  "sg": "C2/m",
  "lattice": [[3.537, 0.000, 0.000], [-1.768, 7.803, 0.390], [0.000, -2.291, 8.112]],
  "species": ["Mg", "Mg", "Mg", "Mg", "Tl", "Cd", "Cd", "Pb", "Pb"],
  "fractional_positions": [[0.812, 0.624, 0.739], [0.188, 0.376, 0.261], [0.516, 0.032, 0.317], [0.484, 0.968, 0.683], [0.000, 0.000, 0.000], [0.331, 0.662, 0.052], [0.669, 0.338, 0.948], [0.859, 0.719, 0.402], [0.141, 0.281, 0.598]]
}

---

{
  "formula": "Mg2TlCdPb",
  "functional": "PBE",
  "state": "relaxed",
  "crystal_system": "monoclinic",
  "sg": "C2/m",
  "lattice": [[4.686, 0.000, 0.000], [-2.343, 5.367, 0.608], [0.000, -0.835, 10.003]],
  "species": ["Mg", "Mg", "Mg", "Mg", "Tl", "Tl", "Cd", "Cd", "Pb", "Pb"],
  "fractional_positions": [[0.353, 0.706, 0.551], [0.647, 0.294, 0.449], [0.147, 0.294, 0.943], [0.853, 0.706, 0.057], [0.557, 0.114, 0.148], [0.443, 0.886, 0.852], [0.949, 0.897, 0.363], [0.051, 0.103, 0.637], [0.257, 0.514, 0.258], [0.743, 0.486, 0.742]]
}

---

{
  "formula": "TmMgCdPb",
  "functional": "PBE",
  "state": "relaxed",
  "crystal_system": "orthorhombic",
  "sg": "Pmmm",
  "lattice": [[-2.365, -2.996, 2.034], [3.863, -2.428, 0.916], [0.533, 2.435, 4.206]],
  "species": ["Tm", "Mg", "Cd", "Pb"],
  "fractional_positions": [[0.500, 0.000, 0.500], [0.500, 0.500, 0.000], [0.000, 0.000, 0.000], [0.000, 0.500, 0.500]]
}

---

For reference, E_tot by record: -10.22 -22.19 -12.94 -23.53 -25.13 -12.22 -11.75 -8.44 -23.76 -18.12 -20.58 -11.87 eV for the cell shown.
For reference, N(E_F) by record: 0.423 0.125 0.396 0.415 0.243 0.390 0.695 0.489 0.393 0.378 0.347 0.368 states/eV/atom.